[1]
Here is a relaxed structure of P2WBrCl from the Alexandria database. Energies are from GGA-PBEsol.

Lattice parameters (Å, degrees): 4.7291 4.7454 4.7454 90.00 90.00 90.00
Positions (direct):
1 P 0.0000 0.0000 0.5000
2 P 0.0000 0.5000 0.0000
3 Br 0.0000 0.0000 0.0000
4 W 0.5000 0.5000 0.5000
5 Cl 0.5000 0.0000 0.0000

The calculation puts the total energy at -3.865 eV per atom. The calculation puts the formation energy without anion corrections at 1989 meV per atom. As for the density of states at the Fermi level: 4.6 states/eV/cell.

[2]
Here is a relaxed structure of YP2BrCl from the Alexandria database. Energies are from GGA-PBEsol.

Lattice parameters (Å, degrees): 5.0440 5.3991 5.3991 90.00 90.00 90.00
Positions (direct):
1 Y 0.0000 0.0000 0.0000
2 P 0.0000 0.0000 0.5000
3 P 0.0000 0.5000 0.0000
4 Br 0.5000 0.5000 0.5000
5 Cl 0.5000 0.0000 0.0000

The calculation puts the total energy at -4.371 eV per atom. The calculation puts the formation energy without anion corrections at 85 meV per atom. As for the density of states at the Fermi level: 4.2 states/eV/cell.

[3]
Here is a relaxed structure of Pb3BrCl from the Alexandria database. Energies are from GGA-PBEsol.

Lattice parameters (Å, degrees): 5.5496 5.5496 5.5496 90.00 90.00 90.00
Positions (direct):
1 Pb 0.0000 0.5000 0.0000
2 Pb 0.0000 0.0000 0.5000
3 Pb 0.5000 0.0000 0.0000
4 Br 0.5000 0.5000 0.5000
5 Cl 0.0000 0.0000 0.0000

The calculation puts the total energy at -2.937 eV per atom. The calculation puts the formation energy without anion corrections at 237 meV per atom. As for the density of states at the Fermi level: 7.0 states/eV/cell.

[4]
Here is a relaxed structure of PbBr2Cl from the Alexandria database. Energies are from GGA-PBEsol.

Lattice parameters (Å, degrees): 4.4213 4.4213 5.5937 90.00 90.00 90.00
Positions (direct):
1 Pb 0.5000 0.5000 0.5000
2 Br 0.0000 0.0000 0.7498
3 Br 0.0000 0.0000 0.2503
4 Cl 0.5000 0.5000 0.0000

The calculation puts the total energy at -2.904 eV per atom. The calculation puts the formation energy without anion corrections at -467 meV per atom. As for the density of states at the Fermi level: 1.3 states/eV/cell.

[5]
Here is a relaxed structure of PbBr2Cl from the Alexandria database. Energies are from GGA-PBEsol.

Lattice parameters (Å, degrees): 4.9486 5.3844 5.2992 90.00 90.00 116.25
Positions (direct):
1 Pb 0.2350 0.7219 0.5000
2 Br 0.0712 0.9425 0.0000
3 Br 0.5915 0.3872 0.5000
4 Cl 0.1023 0.4485 0.0000

The calculation puts the total energy at -3.006 eV per atom. The calculation puts the formation energy without anion corrections at -570 meV per atom. As for the density of states at the Fermi level: 0.7 states/eV/cell.

[6]
Here is a relaxed structure of Pb2BrCl from the Alexandria database. Energies are from GGA-PBEsol.

Lattice parameters (Å, degrees): 3.6834 5.9927 5.9927 60.38 72.10 72.10
Positions (direct):
1 Pb 0.2575 0.7425 0.7425
2 Pb 0.7425 0.2575 0.2575
3 Br 0.5000 0.0000 0.0000
4 Cl 0.0000 0.5000 0.5000

The calculation puts the total energy at -3.517 eV per atom. The calculation puts the formation energy without anion corrections at -548 meV per atom. As for the density of states at the Fermi level: 1.1 states/eV/cell.

[7]
Here is a relaxed structure of PbBr2Cl from the Alexandria database. Energies are from GGA-PBEsol.

Lattice parameters (Å, degrees): 4.7148 4.7148 6.3750 68.30 68.30 60.00
Positions (direct):
1 Pb 0.0000 0.0000 0.0000
2 Br 0.2578 0.2578 0.2265
3 Br 0.7422 0.7422 0.7735
4 Cl 0.5000 0.5000 0.5000

The calculation puts the total energy at -2.838 eV per atom. The calculation puts the formation energy without anion corrections at -402 meV per atom. As for the density of states at the Fermi level: 4.0 states/eV/cell.

[8]
Here is a relaxed structure of RePbBrCl2 from the Alexandria database. Energies are from GGA-PBEsol.

Lattice parameters (Å, degrees): 5.4741 5.4741 5.8150 90.00 90.00 90.00
Positions (direct):
1 Pb 0.0000 0.0000 0.0000
2 Re 0.5000 0.5000 0.5000
3 Br 0.0000 0.0000 0.5000
4 Cl 0.0000 0.5000 0.0000
5 Cl 0.5000 0.0000 0.0000

The calculation puts the total energy at -3.851 eV per atom. The calculation puts the formation energy without anion corrections at 793 meV per atom. As for the density of states at the Fermi level: 0.2 states/eV/cell.